Material: K2CeMo3O12
Method: DFT, PBE with a Hubbard U
State: optimized geometry

Values from the calculation:
E_tot in eV per cell: -123.69
Total magnetization in μB per formula unit: 0.0

Lattice parameters (Å, degrees): 7.6683 7.6683 7.6683 58.41 58.41 58.41
Positions (direct):
K: 0.1625 0.1625 0.1625
K: 0.8375 0.8375 0.8375
Ce: 0.5000 0.5000 0.5000
Mo: 0.0000 0.5000 0.5000
Mo: 0.5000 0.0000 0.5000
Mo: 0.5000 0.5000 0.0000
O: 0.1473 0.5754 0.5754
O: 0.2003 0.2003 0.5613
O: 0.2003 0.5613 0.2003
O: 0.4246 0.4246 0.8527
O: 0.4246 0.8527 0.4246
O: 0.4387 0.7997 0.7997
O: 0.5613 0.2003 0.2003
O: 0.5754 0.1473 0.5754
O: 0.5754 0.5754 0.1473
O: 0.7997 0.4387 0.7997
O: 0.7997 0.7997 0.4387
O: 0.8527 0.4246 0.4246